Dy2CuSb (PBE-GGA, optimized geometry); relative energy among the computed polymorphs = 129 meV per atom; density of states at the Fermi level = 3.40 states/eV/cell
1.0
3.916 0.000 0.000
0.000 4.951 0.000
0.000 0.000 4.951
Sb Cu Dy
1 1 2
direct
0.500 0.000 0.000
0.500 0.500 0.500
0.000 0.000 0.500
0.000 0.500 0.000